No. 1
# Ti2FeB2Ru3Rh2

A relaxed structure of Ti2FeB2Ru3Rh2 (PBE, the Alexandria database).

Unit cell a=3.0050 b=9.1416 c=9.2229 alpha=89.91 beta=90.00 gamma=90.00
With the nearest neighbours (Å) after each atom.
Sites, in units of the cell vectors:
1 Ru 0.5000 0.5710 0.7134  2 B 2.16
2 Ru 0.5000 0.9276 0.2138  2 B 2.14
3 Ru 0.5000 0.2130 0.0718  2 B 2.17
4 Ru 0.5000 0.4290 0.2866  2 B 2.16
5 Ru 0.5000 0.0724 0.7862  2 B 2.14
6 Ru 0.5000 0.7870 0.9282  2 B 2.17
7 Ti 0.0000 0.3206 0.8265  3 B 2.57-2.82, 4 Rh 2.74-2.81, 2 Ru 2.75
8 Ti 0.0000 0.1775 0.3165  2 B 2.51-2.79, 4 Ru 2.73-2.76, 2 Rh 2.78
9 Ti 0.0000 0.8225 0.6835  2 B 2.51-2.79, 4 Ru 2.73-2.76, 2 Rh 2.78
10 Ti 0.0000 0.6794 0.1735  3 B 2.57-2.82, 4 Rh 2.74-2.81, 2 Ru 2.75
11 Fe 0.0000 0.0000 0.0000  8 Ru 2.55-2.56
12 Fe 0.0000 0.5000 0.5000  4 Rh 2.56, 4 Ru 2.56
13 Rh 0.5000 0.7144 0.4282  2 B 2.17
14 Rh 0.5000 0.0000 0.5000  4 B 2.22
15 Rh 0.5000 0.5000 0.0000  4 B 2.22
16 Rh 0.5000 0.2856 0.5718  2 B 2.17
17 B 0.0000 0.3752 0.1271  4 Ru 2.16-2.17, 2 Rh 2.22
18 B 0.0000 0.8769 0.3720  2 Ru 2.14, 4 Rh 2.17-2.22
19 B 0.0000 0.1231 0.6280  2 Ru 2.14, 4 Rh 2.17-2.22
20 B 0.0000 0.6248 0.8729  4 Ru 2.16-2.17, 2 Rh 2.22

Properties
ρ (kg/m³): 8943
Total DFT energy (no corrections) (eV per atom): -8.5350

***

No. 2
# CaTbInGa

A relaxed structure of CaTbInGa (PBE, the Alexandria database).

Unit cell a=5.2690 b=5.2690 c=5.2690 alpha=60.00 beta=60.00 gamma=60.00
With the nearest neighbours (Å) after each atom.
Sites, in units of the cell vectors:
1 In 0.7500 0.7500 0.7500  4 Ca 3.23, 4 Tb 3.23
2 Ca 0.5000 0.5000 0.5000  4 Ga 3.23, 4 In 3.23
3 Tb 0.0000 0.0000 0.0000  4 In 3.23, 4 Ga 3.23
4 Ga 0.2500 0.2500 0.2500  4 Ca 3.23, 4 Tb 3.23

Properties
Offset from the most stable computed form (meV/atom): 41
ρ (kg/m³): 6157
Total DFT energy (no corrections) (eV per atom): -3.5499

***

No. 3
# Na2ZrCl

A relaxed structure of Na2ZrCl (PBE, the Alexandria database).

Unit cell a=9.1451 b=9.1451 c=6.9815 alpha=49.08 beta=49.08 gamma=90.00
With the nearest neighbours (Å) after each atom.
Sites, in units of the cell vectors:
1 Zr 0.7500 0.2500 0.5000  2 Cl 2.63
2 Zr 0.0000 0.0000 0.0000  2 Cl 2.63
3 Cl 0.2500 0.7500 0.5000  2 Zr 2.63, 4 Na 2.85
4 Cl 0.5000 0.5000 0.0000  2 Zr 2.63, 4 Na 2.85
5 Na 0.8750 0.7966 0.7500  2 Cl 2.85, 2 Na 3.00
6 Na 0.2034 0.6250 0.2500  2 Cl 2.85, 2 Na 3.00
7 Na 0.3750 0.4534 0.7500  2 Cl 2.85, 2 Na 3.00
8 Na 0.5466 0.1250 0.2500  2 Cl 2.85, 2 Na 3.00

Properties
Formation energy without anion corrections (eV/f.u.): 0.35
Offset from the most stable computed form (meV/atom): 0
ρ (kg/m³): 2606
Total DFT energy (no corrections) (eV per atom): -3.1706

***

No. 4
# ThSn2Hg

A relaxed structure of ThSn2Hg (PBE, the Alexandria database).

Unit cell a=5.0418 b=5.0418 c=5.7987 alpha=64.23 beta=64.23 gamma=60.00
With the nearest neighbours (Å) after each atom.
Sites, in units of the cell vectors:
1 Sn 0.7716 0.7716 0.6852  3 Hg 3.06, 3 Th 3.31
2 Sn 0.2284 0.2284 0.3148  3 Hg 3.06, 3 Th 3.31
3 Th 0.0000 0.0000 0.0000  8 Sn 3.31-3.44
4 Hg 0.5000 0.5000 0.5000  6 Sn 3.06

Properties
Offset from the most stable computed form (meV/atom): 311
ρ (kg/m³): 10078
Total DFT energy (no corrections) (eV per atom): -4.0244

***

No. 5
# Sn3Te12P5

A relaxed structure of Sn3Te12P5 (PBE, the Alexandria database).

Unit cell a=14.8867 b=14.8867 c=14.8867 alpha=109.47 beta=109.47 gamma=109.47
With the nearest neighbours (Å) after each atom.
Sites, in units of the cell vectors:
1 Te 0.7073 0.5876 0.1771  2 P 2.61-2.79
2 Te 0.4105 0.0302 0.3229  2 P 2.61-2.79
3 Te 0.0302 0.4105 0.8229  2 P 2.61-2.79
4 Te 0.3803 0.4105 0.0876  2 P 2.61-2.79
5 Te 0.0876 0.1771 0.2073  2 P 2.61-2.79
6 Te 0.3803 0.9698 0.7927  2 P 2.61-2.79
7 Te 0.2073 0.6771 0.0876  2 P 2.61-2.79
8 Te 0.1197 0.4124 0.0895  2 P 2.61-2.79
9 Te 0.2927 0.8803 0.9698  2 P 2.61-2.79
10 Te 0.2073 0.5302 0.6197  2 P 2.61-2.79
11 Te 0.5876 0.8803 0.4105  2 P 2.61-2.79
12 Te 0.3229 0.5302 0.4105  2 P 2.61-2.79
13 Te 0.4124 0.1197 0.5895  2 P 2.61-2.79
14 Te 0.6197 0.0302 0.2073  2 P 2.61-2.79
15 Te 0.5895 0.6197 0.4124  2 P 2.61-2.79
16 Te 0.4698 0.6771 0.0895  2 P 2.61-2.79
17 Te 0.9124 0.0895 0.6197  2 P 2.61-2.79
18 Te 0.9105 0.0876 0.8803  2 P 2.61-2.79
19 Te 0.3229 0.7927 0.4124  2 P 2.61-2.79
20 Te 0.8229 0.9124 0.2927  2 P 2.61-2.79
21 Te 0.6771 0.2073 0.5876  2 P 2.61-2.79
22 Te 0.5876 0.7073 0.6771  2 P 2.61-2.79
23 Te 0.9105 0.8229 0.5302  2 P 2.61-2.79
24 Te 0.8803 0.5876 0.9105  2 P 2.61-2.79
25 Te 0.1771 0.0895 0.9698  2 P 2.61-2.79
26 Te 0.8803 0.2927 0.4698  2 P 2.61-2.79
27 Te 0.9124 0.8229 0.7927  2 P 2.61-2.79
28 Te 0.9698 0.5895 0.1771  2 P 2.61-2.79
29 Te 0.7927 0.4698 0.3803  2 P 2.61-2.79
30 Te 0.5895 0.9698 0.6771  2 P 2.61-2.79
31 Te 0.0302 0.6197 0.7073  2 P 2.61-2.79
32 Te 0.5302 0.3229 0.9105  2 P 2.61-2.79
33 Te 0.1771 0.0876 0.7073  2 P 2.61-2.79
34 Te 0.5302 0.2073 0.1197  2 P 2.61-2.79
35 Te 0.9698 0.3803 0.2927  2 P 2.61-2.79
36 Te 0.0895 0.9124 0.1197  2 P 2.61-2.79
37 Te 0.6771 0.4698 0.5895  2 P 2.61-2.79
38 Te 0.7073 0.1197 0.0302  2 P 2.61-2.79
39 Te 0.0895 0.1771 0.4698  2 P 2.61-2.79
40 Te 0.2927 0.4124 0.8229  2 P 2.61-2.79
41 Te 0.8229 0.9105 0.0302  2 P 2.61-2.79
42 Te 0.1197 0.7073 0.5302  2 P 2.61-2.79
43 Te 0.4124 0.2927 0.3229  2 P 2.61-2.79
44 Te 0.6197 0.5895 0.9124  2 P 2.61-2.79
45 Te 0.4698 0.7927 0.8803  2 P 2.61-2.79
46 Te 0.7927 0.3229 0.9124  2 P 2.61-2.79
47 Te 0.4105 0.3803 0.5876  2 P 2.61-2.79
48 Te 0.0876 0.9105 0.3803  2 P 2.61-2.79
49 P 0.7500 0.1250 0.8750  4 Te 2.61
50 P 0.8750 0.6250 0.7500  4 Te 2.61
51 P 0.1250 0.7500 0.3750  4 Te 2.61
52 P 0.6250 0.8750 0.2500  4 Te 2.61
53 P 0.8750 0.2500 0.6250  4 Te 2.61
54 P 0.0000 0.5000 0.5000  6 Te 2.79
55 P 0.6250 0.7500 0.8750  4 Te 2.61
56 P 0.5000 0.0000 0.5000  6 Te 2.79
57 P 0.0000 0.0000 0.5000  6 Te 2.79
58 P 0.5000 0.5000 0.5000  6 Te 2.79
59 P 0.2500 0.3750 0.6250  4 Te 2.61
60 P 0.5000 0.5000 0.0000  6 Te 2.79
61 P 0.2500 0.8750 0.1250  4 Te 2.61
62 P 0.7500 0.6250 0.3750  4 Te 2.61
63 P 0.0000 0.0000 0.0000  6 Te 2.79
64 P 0.3750 0.1250 0.7500  4 Te 2.61
65 P 0.3750 0.2500 0.1250  4 Te 2.61
66 P 0.0000 0.5000 0.0000  6 Te 2.79
67 P 0.5000 0.0000 0.0000  6 Te 2.79
68 P 0.1250 0.3750 0.2500  4 Te 2.61
69 Sn 0.6250 0.3750 0.7500  8 Te 3.32-3.35
70 Sn 0.3750 0.7500 0.6250  8 Te 3.32-3.35
71 Sn 0.6250 0.2500 0.3750  8 Te 3.32-3.35
72 Sn 0.1250 0.8750 0.7500  8 Te 3.32-3.35
73 Sn 0.7500 0.3750 0.1250  8 Te 3.32-3.35
74 Sn 0.2500 0.6250 0.8750  8 Te 3.32-3.35
75 Sn 0.1250 0.2500 0.8750  8 Te 3.32-3.35
76 Sn 0.2500 0.1250 0.3750  8 Te 3.32-3.35
77 Sn 0.8750 0.1250 0.2500  8 Te 3.32-3.35
78 Sn 0.3750 0.6250 0.2500  8 Te 3.32-3.35
79 Sn 0.7500 0.8750 0.6250  8 Te 3.32-3.35
80 Sn 0.8750 0.7500 0.1250  8 Te 3.32-3.35

Properties
Formation energy without anion corrections (eV/f.u.): 3.18
ρ (kg/m³): 5341
Total DFT energy (no corrections) (eV per atom): -3.6790

***

No. 6
# Sc2BiC

A relaxed structure of Sc2BiC (PBE, the Alexandria database).

Unit cell a=6.9519 b=6.9519 c=5.9643 alpha=54.35 beta=54.35 gamma=90.00
With the nearest neighbours (Å) after each atom.
Sites, in units of the cell vectors:
1 Bi 0.0000 0.0000 0.0000  8 Sc 3.08-3.25, 2 C 3.38
2 Bi 0.7500 0.2500 0.5000  8 Sc 3.08-3.25, 2 C 3.38
3 Sc 0.3750 0.4708 0.7500  2 C 2.21
4 Sc 0.5292 0.1250 0.2500  2 C 2.21
5 Sc 0.2208 0.6250 0.2500  2 C 2.21
6 Sc 0.8750 0.7792 0.7500  2 C 2.21
7 C 0.5000 0.5000 0.0000  4 Sc 2.21
8 C 0.2500 0.7500 0.5000  4 Sc 2.21

Properties
ρ (kg/m³): 6325
Total DFT energy (no corrections) (eV per atom): -6.7120

***

No. 7
# Ac2Ga5Cu

A relaxed structure of Ac2Ga5Cu (PBE, the Alexandria database).

Unit cell a=6.6280 b=6.6280 c=6.6280 alpha=84.88 beta=123.00 gamma=123.00
With the nearest neighbours (Å) after each atom.
Sites, in units of the cell vectors:
1 Cu 0.0000 0.0205 0.0205  5 Ga 2.56-2.58
2 Ga 0.5716 0.2727 0.2727  1 Cu 2.58, 3 Ga 2.71-2.77
3 Ga 0.0000 0.2727 0.7012  1 Cu 2.58, 3 Ga 2.71-2.77
4 Ga 0.0000 0.2826 0.2826  1 Cu 2.56, 4 Ga 2.77
5 Ga 0.4284 0.7012 0.7012  1 Cu 2.58, 3 Ga 2.71-2.77
6 Ga 0.0000 0.7012 0.2727  1 Cu 2.58, 3 Ga 2.71-2.77
7 Ac 0.5000 0.2356 0.7356  10 Ga 3.20-3.34
8 Ac 0.5000 0.7356 0.2356  10 Ga 3.20-3.34

Properties
ρ (kg/m³): 7349
Total DFT energy (no corrections) (eV per atom): -3.7996

***

No. 8
# CaSbW2

A relaxed structure of CaSbW2 (PBE, the Alexandria database).

Unit cell a=2.9875 b=2.9875 c=9.5041 alpha=90.00 beta=90.00 gamma=107.67
With the nearest neighbours (Å) after each atom.
Sites, in units of the cell vectors:
1 W 0.0000 0.0000 0.5239  2 Sb 2.78, 4 W 2.99
2 W 0.0000 0.0000 0.9761  2 Sb 2.78, 4 W 2.99
3 Sb 0.5000 0.5000 0.7500  4 W 2.78, 4 Sb 2.99
4 Ca 0.5000 0.5000 0.2500  4 Ca 2.99, 4 W 3.14

Properties
Formation energy without anion corrections (eV/f.u.): 3.68
ρ (kg/m³): 10879
Total DFT energy (no corrections) (eV per atom): -7.0882

***

No. 9
# BiAs2H

A relaxed structure of BiAs2H (PBE, the Alexandria database).

Unit cell a=5.6028 b=5.6028 c=6.6608 alpha=65.13 beta=65.13 gamma=90.00
With the nearest neighbours (Å) after each atom.
Sites, in units of the cell vectors:
1 H 0.2500 0.7500 0.5000  4 As 2.04
2 H 0.5000 0.5000 0.0000  4 As 2.04
3 As 0.4867 0.1250 0.2500  2 H 2.04
4 As 0.3750 0.5133 0.7500  2 H 2.04
5 As 0.8750 0.7367 0.7500  2 H 2.04
6 As 0.2633 0.6250 0.2500  2 H 2.04
7 Bi 0.0000 0.0000 0.0000  4 As 2.91
8 Bi 0.7500 0.2500 0.5000  4 As 2.91

Properties
Offset from the most stable computed form (meV/atom): 0
ρ (kg/m³): 7110
Total DFT energy (no corrections) (eV per atom): -3.6502

***

No. 10
# CaAc3La4Se8

A relaxed structure of CaAc3La4Se8 (PBE, the Alexandria database).

Unit cell a=8.7306 b=8.7342 c=8.7310 alpha=119.99 beta=120.00 gamma=90.00
With the nearest neighbours (Å) after each atom.
Sites, in units of the cell vectors:
1 La 0.5000 0.0000 0.5000  6 Se 3.05
2 La 0.5000 0.0000 0.0000  6 Se 3.14-3.15
3 La 0.0000 0.0000 0.5000  6 Se 3.05
4 La 0.0000 0.0000 0.0000  6 Se 3.05
5 Se 0.7612 0.7517 0.0064  1 Ca 3.03, 3 La 3.05-3.15, 2 Ac 3.13
6 Se 0.7546 0.2482 0.5092  1 Ca 3.03, 3 La 3.05-3.14, 2 Ac 3.13
7 Se 0.2466 0.2398 0.4932  3 La 3.05, 3 Ac 3.13
8 Se 0.2388 0.2483 0.9936  1 Ca 3.03, 3 La 3.05-3.15, 2 Ac 3.13
9 Se 0.7534 0.7602 0.5068  3 La 3.05, 3 Ac 3.13
10 Se 0.2452 0.7517 0.0064  1 Ca 3.03, 3 La 3.05-3.15, 2 Ac 3.13
11 Se 0.2454 0.7518 0.4908  1 Ca 3.03, 3 La 3.05-3.14, 2 Ac 3.13
12 Se 0.7548 0.2483 0.9936  1 Ca 3.03, 3 La 3.05-3.15, 2 Ac 3.13
13 Ca 0.0000 0.5000 0.0000  6 Se 3.03
14 Ac 0.5000 0.5000 0.0000  6 Se 3.13
15 Ac 0.5000 0.5000 0.5000  6 Se 3.13
16 Ac 0.0000 0.5000 0.5000  6 Se 3.13

Properties
Formation energy without anion corrections (eV/f.u.): -30.90
ρ (kg/m³): 6730
Total DFT energy (no corrections) (eV per atom): -5.8008

***

No. 11
# ScBeAsBr2

A relaxed structure of ScBeAsBr2 (PBE, the Alexandria database).

Unit cell a=4.5376 b=4.5376 c=5.2531 alpha=90.00 beta=90.00 gamma=90.00
With the nearest neighbours (Å) after each atom.
Sites, in units of the cell vectors:
1 Be 0.0000 0.0000 0.0000  4 Br 2.27
2 Sc 0.5000 0.5000 0.5000  4 As 3.21, 8 Br 3.47
3 As 0.0000 0.0000 0.5000  2 Be 2.63
4 Br 0.5000 0.0000 0.0000  2 Be 2.27
5 Br 0.0000 0.5000 0.0000  2 Be 2.27

Properties
Formation energy without anion corrections (eV/f.u.): -0.85
Offset from the most stable computed form (meV/atom): 0
ρ (kg/m³): 4432
Total DFT energy (no corrections) (eV per atom): -3.7810

***

No. 12
# Hf12Ni6Pt

A relaxed structure of Hf12Ni6Pt (PBE, the Alexandria database).

Unit cell a=7.6699 b=7.6699 c=7.6699 alpha=109.47 beta=109.47 gamma=109.47
With the nearest neighbours (Å) after each atom.
Sites, in units of the cell vectors:
1 Ni 0.6347 0.5000 0.1347  1 Ni 2.39, 2 Hf 2.45
2 Ni 0.5000 0.1347 0.6347  1 Ni 2.39, 2 Hf 2.45
3 Ni 0.1347 0.6347 0.5000  1 Ni 2.39, 2 Hf 2.45
4 Ni 0.8653 0.3653 0.5000  1 Ni 2.39, 2 Hf 2.45
5 Ni 0.3653 0.5000 0.8653  1 Ni 2.39, 2 Hf 2.45
6 Ni 0.5000 0.8653 0.3653  1 Ni 2.39, 2 Hf 2.45
7 Hf 0.2892 0.4752 0.1860  1 Ni 2.45
8 Hf 0.1860 0.2892 0.4752  1 Ni 2.45
9 Hf 0.1032 0.8140 0.2892  1 Ni 2.45
10 Hf 0.5248 0.8140 0.7108  1 Ni 2.45
11 Hf 0.8140 0.2892 0.1032  1 Ni 2.45
12 Hf 0.8968 0.1860 0.7108  1 Ni 2.45
13 Hf 0.1860 0.7108 0.8968  1 Ni 2.45
14 Hf 0.7108 0.5248 0.8140  1 Ni 2.45
15 Hf 0.2892 0.1032 0.8140  1 Ni 2.45
16 Hf 0.8140 0.7108 0.5248  1 Ni 2.45
17 Hf 0.7108 0.8968 0.1860  1 Ni 2.45
18 Hf 0.4752 0.1860 0.2892  1 Ni 2.45
19 Pt 0.0000 0.0000 0.0000  12 Hf 3.05

Properties
ρ (kg/m³): 12856
Total DFT energy (no corrections) (eV per atom): -8.8170